First-principles (PBE) data for crystalline Ti5Si at its relaxed geometry, as listed in Alexandria.

The structure belongs to space group Cmmm (No. 65); the cell edges are 3.9539, 12.3121 and 3.9638 Å and the angles 90.00°, 90.00° and 90.00°. The distinct sites, in fractional coordinates, are Ti at (0.0000, 0.0000, 0.0000), Ti at (0.0000, 0.1609, 0.5000), Ti at (0.0000, 0.3381, 0.0000) and Si at (0.0000, 0.5000, 0.5000).

For the energy above the lowest structure with this stoichiometry, the calculation gives 0.0 meV per atom. Its volume is 193.0 Å³/cell. The energy relative to the elements, uncorrected comes out at -26 kJ/mol of atoms.

=====

First-principles (PBE) data for crystalline Ni2AsBr at its relaxed geometry, as listed in Alexandria.

The structure belongs to space group P4mm (No. 99); the cell edges are 3.2337, 3.2337 and 6.8198 Å and the angles 90.00°, 90.00° and 90.00°. The distinct sites, in fractional coordinates, are Ni at (0.0000, 0.0000, 0.0000), Ni at (0.5000, 0.5000, 0.1920), As at (0.0000, 0.0000, 0.3462) and Br at (0.5000, 0.5000, 0.8222).

For the energy above the lowest structure with this stoichiometry, the calculation gives 155.2 meV per atom. Its volume is 71.3 Å³/cell. The energy relative to the elements, uncorrected comes out at 5 kJ/mol of atoms.

=====

First-principles (PBE) data for crystalline PPd2PbI at its relaxed geometry, as listed in Alexandria.

The structure belongs to space group P4/mmm (No. 123); the cell edges are 5.2586, 5.2586 and 5.0719 Å and the angles 90.00°, 90.00° and 90.00°. The distinct sites, in fractional coordinates, are P at (0.0000, 0.0000, 0.0000), Pd at (0.0000, 0.5000, 0.5000), Pb at (0.0000, 0.0000, 0.5000) and I at (0.5000, 0.5000, 0.0000).

For the energy above the lowest structure with this stoichiometry, the calculation gives 858.7 meV per atom. Its volume is 140.3 Å³/cell. The energy relative to the elements, uncorrected comes out at 85 kJ/mol of atoms.

=====

First-principles (PBE) data for crystalline KNpZn2Br8 at its relaxed geometry, as listed in Alexandria.

The structure belongs to space group R-3 (No. 148, hexagonal axes); the cell edges are 6.8651, 6.8651 and 31.1037 Å and the angles 90.00°, 90.00° and 120.00°. The distinct sites, in fractional coordinates, are K at (0.0000, 0.0000, 0.0000), Np at (0.0000, 0.0000, 0.5000), Zn at (0.0000, 0.0000, 0.2515), Br at (0.0000, 0.0000, 0.3270) and Br at (0.0002, 0.3253, 0.1102).

Its volume is 1269.5 Å³/cell. The energy relative to the elements, uncorrected comes out at -109 kJ/mol of atoms.

=====

First-principles (PBE) data for crystalline LiTlH2Br at its relaxed geometry, as listed in Alexandria.

The structure belongs to space group Cm (No. 8); the cell edges are 10.4115, 3.9148 and 5.8122 Å and the angles 90.00°, 112.87° and 90.00°. The distinct sites, in fractional coordinates, are Li at (0.0000, 0.0000, 0.0000), Tl at (0.1699, 0.5000, 0.7790), H at (0.1306, 0.0000, 0.8260), H at (0.3327, 0.5000, 0.7119) and Br at (0.4759, 0.0000, 0.2446).

For the energy above the lowest structure with this stoichiometry, the calculation gives 242.2 meV per atom. Its volume is 218.3 Å³/cell.

=====

First-principles (PBE) data for crystalline NiIrPt2 at its relaxed geometry, as listed in Alexandria.

The structure belongs to space group R3m (No. 160, hexagonal axes); the cell edges are 2.7423, 2.7423 and 26.3793 Å and the angles 90.00°, 90.00° and 120.00°. The distinct sites, in fractional coordinates, are Ni at (0.0000, 0.0000, 0.0000), Ir at (0.0000, 0.0000, 0.7414), Pt at (0.0000, 0.0000, 0.2537) and Pt at (0.0000, 0.0000, 0.4957).

For the energy above the lowest structure with this stoichiometry, the calculation gives 0.0 meV per atom. Its volume is 171.8 Å³/cell. The formation enthalpy at 0 K comes out at -24 meV per atom.